(P)
# OsPtAu2

OsPtAu2 at its PBEsol-relaxed geometry (SCAN, Alexandria).

abc: 2.7145 4.8271 5.5720
angles: 115.67 104.10 90.00
Fractional positions:
Au: 0.7535 0.7535 0.5070
Au: 0.2465 0.2465 0.4930
Os: 0.5000 0.0000 0.0000
Pt: 0.0000 0.5000 0.0000

Computed properties:
density	20.42	g/cm3

***

(Q)
# OsPtAu2

OsPtAu2 at its PBEsol-relaxed geometry (SCAN, Alexandria).

abc: 2.7955 2.7955 9.3210
angles: 81.38 81.38 60.00
Fractional positions:
Au: 0.2487 0.2487 0.2540
Au: 0.7513 0.7513 0.7460
Os: 0.5000 0.5000 0.5000
Pt: 0.0000 0.0000 0.0000

Computed properties:
density	20.83	g/cm3

***

Most stable: (Q) (next structure +57 meV/atom)

***

(P)
# Os2PtAu

Os2PtAu at its PBEsol-relaxed geometry (SCAN, Alexandria).

abc: 2.7206 4.5447 5.6730
angles: 113.61 103.87 90.00
Fractional positions:
Au: 0.5000 0.0000 0.0000
Os: 0.7238 0.7238 0.4475
Os: 0.2762 0.2762 0.5525
Pt: 0.0000 0.5000 0.0000

Computed properties:
density	20.68	g/cm3

***

(Q)
# Os2PtAu

Os2PtAu at its PBEsol-relaxed geometry (SCAN, Alexandria).

abc: 2.7254 4.8167 4.8167
angles: 110.50 90.00 90.00
Fractional positions:
Au: 0.5000 0.5000 0.5000
Os: 0.0000 0.5000 0.0000
Os: 0.0000 0.0000 0.5000
Pt: 0.5000 0.0000 0.0000

Computed properties:
density	21.66	g/cm3

***

Most stable: (P) (next structure +43 meV/atom)

***

(P)
# OsRuAu2

OsRuAu2 at its PBEsol-relaxed geometry (SCAN, Alexandria).

abc: 2.7483 4.6718 5.5253
angles: 115.01 104.40 90.00
Fractional positions:
Au: 0.7503 0.7503 0.5006
Au: 0.2497 0.2497 0.4994
Os: 0.5000 0.0000 0.0000
Ru: 0.0000 0.5000 0.0000

Computed properties:
density	18.41	g/cm3

***

(Q)
# OsRuAu2

OsRuAu2 at its PBEsol-relaxed geometry (SCAN, Alexandria).

abc: 4.4376 4.4376 4.4376
angles: 60.00 60.00 60.00
Fractional positions:
Au: 0.0000 0.0000 0.0000
Au: 0.7500 0.7500 0.7500
Os: 0.5000 0.5000 0.5000
Ru: 0.2500 0.2500 0.2500

Computed properties:
density	18.41	g/cm3

***

Most stable: (P) (next structure +65 meV/atom)

***

(P)
# ScOsAu

ScOsAu at its PBEsol-relaxed geometry (SCAN, Alexandria).

abc: 2.6774 4.6012 4.6012
angles: 120.00 90.00 90.00
Fractional positions:
Au: 0.0486 0.0000 0.0000
Os: 0.6411 0.3333 0.6667
Sc: 0.3103 0.6667 0.3333

Computed properties:
density	14.62	g/cm3

***

(Q)
# ScOsAu

ScOsAu at its PBEsol-relaxed geometry (SCAN, Alexandria).

abc: 2.7427 4.0938 5.0413
angles: 113.96 105.78 90.00
Fractional positions:
Au: 0.0033 0.0033 0.0065
Os: 0.6690 0.6690 0.3380
Sc: 0.3277 0.3277 0.6554

Computed properties:
density	14.53	g/cm3

***

Most stable: (Q) (next structure +87 meV/atom)

***

(P)
# Si2OsAu

Si2OsAu at its PBEsol-relaxed geometry (SCAN, Alexandria).

abc: 3.0471 4.8904 4.8904
angles: 112.22 101.22 101.22
Fractional positions:
Au: 0.0000 0.0000 0.0000
Os: 0.0000 0.5000 0.5000
Si: 0.0000 0.5000 0.0000
Si: 0.0000 0.0000 0.5000

Computed properties:
density	11.64	g/cm3

***

(Q)
# Si2OsAu

Si2OsAu at its PBEsol-relaxed geometry (SCAN, Alexandria).

abc: 3.9879 4.5345 3.9879
angles: 63.91 90.00 116.09
Fractional positions:
Au: 0.5000 0.0000 0.5000
Os: 0.0000 0.0000 0.0000
Si: 0.2500 0.5000 0.2500
Si: 0.7500 0.5000 0.7500

Computed properties:
density	13.04	g/cm3

***

(R)
# Si2OsAu

Si2OsAu at its PBEsol-relaxed geometry (SCAN, Alexandria).

abc: 3.0786 3.6653 5.0674
angles: 90.00 90.00 90.00
Fractional positions:
Au: 0.0000 0.0000 0.4543
Os: 0.5000 0.5000 0.8065
Si: 0.0000 0.0000 0.9608
Si: 0.5000 0.5000 0.2785

Computed properties:
density	12.88	g/cm3

***

Most stable: (R) (next structure +364 meV/atom)

***

(P)
# Sr2OsAu

Sr2OsAu at its PBEsol-relaxed geometry (SCAN, Alexandria).

abc: 4.4310 4.4310 5.6487
angles: 113.09 113.09 90.00
Fractional positions:
Au: 0.5000 0.5000 0.0000
Os: 0.2500 0.7500 0.5000
Sr: 0.0000 0.0000 0.0000
Sr: 0.7500 0.2500 0.5000

Computed properties:
density	10.12	g/cm3

***

(Q)
# Sr2OsAu

Sr2OsAu at its PBEsol-relaxed geometry (SCAN, Alexandria).

abc: 3.4594 3.4594 7.9868
angles: 90.00 90.00 90.00
Fractional positions:
Au: 0.5000 0.5000 0.5000
Os: 0.5000 0.5000 0.0000
Sr: 0.0000 0.0000 0.2334
Sr: 0.0000 0.0000 0.7666

Computed properties:
density	9.77	g/cm3

***

Most stable: (Q) (next structure +250 meV/atom)

***

(P)
# TaOs2Au

TaOs2Au at its PBEsol-relaxed geometry (SCAN, Alexandria).

abc: 3.8862 3.8862 4.8813
angles: 113.46 113.46 90.00
Fractional positions:
Au: 0.2500 0.7500 0.5000
Os: 0.5000 0.5000 0.0000
Os: 0.7500 0.2500 0.5000
Ta: 0.0000 0.0000 0.0000

Computed properties:
density	20.67	g/cm3

***

(Q)
# TaOs2Au

TaOs2Au at its PBEsol-relaxed geometry (SCAN, Alexandria).

abc: 3.2691 3.2691 5.8303
angles: 90.00 90.00 90.00
Fractional positions:
Au: 0.5000 0.5000 0.5000
Os: 0.0000 0.0000 0.7545
Os: 0.0000 0.0000 0.2455
Ta: 0.5000 0.5000 0.0000

Computed properties:
density	20.21	g/cm3

***

Most stable: (P) (next structure +149 meV/atom)

***

(P)
# TcOsAu2

TcOsAu2 at its PBEsol-relaxed geometry (SCAN, Alexandria).

abc: 2.8068 2.8068 7.9159
angles: 90.00 90.00 90.00
Fractional positions:
Au: 0.0000 0.0000 0.9887
Au: 0.5000 0.5000 0.2600
Os: 0.0000 0.0000 0.5260
Tc: 0.5000 0.5000 0.7254

Computed properties:
density	18.16	g/cm3

***

(Q)
# TcOsAu2

TcOsAu2 at its PBEsol-relaxed geometry (SCAN, Alexandria).

abc: 2.8174 3.8162 5.7112
angles: 90.00 90.00 90.00
Fractional positions:
Au: 0.5000 0.0000 0.9966
Au: 0.0000 0.5000 0.2527
Os: 0.5000 0.0000 0.5262
Tc: 0.0000 0.5000 0.7244

Computed properties:
density	18.45	g/cm3

***

Most stable: (P) (next structure +137 meV/atom)

***

(P)
# TlOsAu2

TlOsAu2 at its PBEsol-relaxed geometry (SCAN, Alexandria).

abc: 2.9327 2.9327 9.5749
angles: 81.19 81.19 60.00
Fractional positions:
Au: 0.0046 0.0046 0.9863
Au: 0.7527 0.7527 0.7418
Os: 0.4961 0.4961 0.5116
Tl: 0.2466 0.2466 0.2603

Computed properties:
density	18.65	g/cm3

***

(Q)
# TlOsAu2

TlOsAu2 at its PBEsol-relaxed geometry (SCAN, Alexandria).

abc: 2.7303 3.8184 7.0619
angles: 90.00 90.00 90.00
Fractional positions:
Au: 0.0000 0.0000 0.7889
Au: 0.0000 0.0000 0.2111
Os: 0.5000 0.5000 0.0000
Tl: 0.5000 0.5000 0.5000

Computed properties:
density	17.79	g/cm3

***

Most stable: (P) (next structure +11 meV/atom)

***

(P)
# TlOs2Au

TlOs2Au at its PBEsol-relaxed geometry (SCAN, Alexandria).

abc: 4.0484 4.0484 4.8872
angles: 114.47 114.47 90.00
Fractional positions:
Au: 0.2500 0.7500 0.5000
Os: 0.0000 0.0000 0.0000
Os: 0.7500 0.2500 0.5000
Tl: 0.5000 0.5000 0.0000

Computed properties:
density	20.00	g/cm3

***

(Q)
# TlOs2Au

TlOs2Au at its PBEsol-relaxed geometry (SCAN, Alexandria).

abc: 2.9278 2.9278 7.6301
angles: 90.00 90.00 90.00
Fractional positions:
Au: 0.5000 0.5000 0.5000
Os: 0.0000 0.0000 0.7315
Os: 0.0000 0.0000 0.2685
Tl: 0.5000 0.5000 0.0000

Computed properties:
density	19.85	g/cm3

***

(R)
# TlOs2Au

TlOs2Au at its PBEsol-relaxed geometry (SCAN, Alexandria).

abc: 2.8380 2.8380 9.4796
angles: 90.00 90.00 119.56
Fractional positions:
Au: 0.5000 0.5000 0.0000
Os: 0.0000 0.0000 0.2457
Os: 0.0000 0.0000 0.7543
Tl: 0.5000 0.5000 0.5000

Computed properties:
density	19.55	g/cm3

***

Most stable: (P) (next structure +136 meV/atom)

***

(P)
# OsWAu2

OsWAu2 at its PBEsol-relaxed geometry (SCAN, Alexandria).

abc: 4.4830 4.4830 4.4830
angles: 60.00 60.00 60.00
Fractional positions:
Au: 0.0000 0.0000 0.0000
Au: 0.7500 0.7500 0.7500
Os: 0.5000 0.5000 0.5000
W: 0.2500 0.2500 0.2500

Computed properties:
density	20.02	g/cm3

***

(Q)
# OsWAu2

OsWAu2 at its PBEsol-relaxed geometry (SCAN, Alexandria).

abc: 2.7847 2.7847 9.4622
angles: 81.54 81.54 60.00
Fractional positions:
Au: 0.2496 0.2496 0.2513
Au: 0.7504 0.7504 0.7487
Os: 0.5000 0.5000 0.5000
W: 0.0000 0.0000 0.0000

Computed properties:
density	20.37	g/cm3

***

Most stable: (Q) (next structure +122 meV/atom)

***

(P)
# OsWAu2

OsWAu2 at its PBEsol-relaxed geometry (SCAN, Alexandria).

abc: 2.8200 2.8200 7.9952
angles: 90.00 90.00 90.00
Fractional positions:
Au: 0.0000 0.0000 0.9903
Au: 0.5000 0.5000 0.2593
Os: 0.0000 0.0000 0.5175
W: 0.5000 0.5000 0.7330

Computed properties:
density	20.06	g/cm3

***

(Q)
# OsWAu2

OsWAu2 at its PBEsol-relaxed geometry (SCAN, Alexandria).

abc: 2.8550 3.8619 5.7185
angles: 90.00 90.00 90.00
Fractional positions:
Au: 0.0000 0.0000 0.0001
Au: 0.5000 0.5000 0.2497
Os: 0.0000 0.0000 0.5223
W: 0.5000 0.5000 0.7279

Computed properties:
density	20.23	g/cm3

***

Most stable: (P) (next structure +72 meV/atom)

***

(P)
# OsWAu

OsWAu at its PBEsol-relaxed geometry (SCAN, Alexandria).

abc: 2.8078 3.9022 4.8257
angles: 113.85 106.91 90.00
Fractional positions:
Au: 0.0006 0.0006 0.0012
Os: 0.6727 0.6727 0.3453
W: 0.3267 0.3267 0.6534

Computed properties:
density	20.68	g/cm3

***

(Q)
# OsWAu

OsWAu at its PBEsol-relaxed geometry (SCAN, Alexandria).

abc: 2.7079 2.7079 7.2854
angles: 96.14 96.14 115.09
Fractional positions:
Au: 0.0008 0.0008 0.0016
Os: 0.3251 0.3251 0.6502
W: 0.6741 0.6741 0.3482

Computed properties:
density	20.00	g/cm3

***

Most stable: (P) (next structure +213 meV/atom)

***

(P)
# PAu

PAu at its PBEsol-relaxed geometry (SCAN, Alexandria).

abc: 3.6233 3.6233 3.6233
angles: 60.00 60.00 60.00
Fractional positions:
P: 0.5000 0.5000 0.5000
Au: 0.0000 0.0000 0.0000

Computed properties:
density	11.25	g/cm3

***

(Q)
# PAu

PAu at its PBEsol-relaxed geometry (SCAN, Alexandria).

abc: 3.1450 3.6849 6.2964
angles: 107.02 104.46 90.00
Fractional positions:
Au: 0.4100 0.6600 0.8200
Au: 0.5900 0.3400 0.1800
P: 0.8223 0.0723 0.6446
P: 0.1777 0.9277 0.3554

Computed properties:
density	11.24	g/cm3

***

Most stable: (P) (next structure +135 meV/atom)